Model w:
A plane-wave DFT calculation with PBE was carried out for a relaxed K5As3 crystal.

## Properties
Total moment   0.4 μB/f.u.

Structure (extended XYZ):
```
16
Lattice="10.6151 0.0000 0.0000 -5.3075 9.1929 0.0000 0.0000 0.0000 5.6304" Properties=species:S:1:pos:R:3 pbc="T T T"
K -1.3819 2.3935 1.4076
K -3.9256 6.7994 4.2228
K 2.7638 0.0000 1.4076
K 1.3819 2.3935 4.2228
K 0.0000 6.1286 0.0000
K 0.0000 6.1286 2.8152
K 5.3075 3.0643 0.0000
K 5.3075 3.0643 2.8152
K 7.8513 0.0000 4.2228
K 3.9256 6.7994 1.4076
As -2.3382 4.0499 4.2228
As -2.9693 5.1430 1.4076
As 4.6765 0.0000 4.2228
As 2.3382 4.0499 1.4076
As 5.9386 0.0000 1.4076
As 2.9693 5.1430 4.2228
```



Model x:
A plane-wave DFT calculation with PBE was carried out for a relaxed K5As3 crystal.

## Properties
Total moment   0.0 μB/f.u.

Structure (extended XYZ):
```
8
Lattice="4.9409 -5.1912 0.0000 4.9409 5.1912 0.0000 0.0000 0.0000 4.8176" Properties=species:S:1:pos:R:3 pbc="T T T"
K 0.0000 0.0000 0.0000
K 2.4704 2.5956 0.0000
K 4.9409 2.2270 2.4088
K 2.4704 -2.5956 0.0000
K 4.9409 -2.2270 2.4088
As 2.5551 0.0000 2.4088
As 4.9409 0.0000 0.0000
As 7.3267 0.0000 2.4088
```



Short version: model w, model x, most stable first.



Model w:
A plane-wave DFT calculation with PBE was carried out for a relaxed KAs4 crystal.

## Properties
Total moment   0.0 μB/f.u.

Structure (extended XYZ):
```
5
Lattice="5.3509 0.0000 0.0000 0.0000 5.3509 0.0000 0.0000 0.0000 5.3509" Properties=species:S:1:pos:R:3 pbc="T T T"
K 0.0000 0.0000 0.0000
As 0.0000 0.0000 2.6754
As 0.0000 2.6754 0.0000
As 2.6754 0.0000 0.0000
As 2.6754 2.6754 2.6754
```



Model x:
A plane-wave DFT calculation with PBE was carried out for a relaxed KAs4 crystal.

## Properties
Total moment   0.0 μB/f.u.

Structure (extended XYZ):
```
5
Lattice="-3.2294 3.2294 3.2294 3.2294 -3.2294 3.2294 3.2294 3.2294 -3.2294" Properties=species:S:1:pos:R:3 pbc="T T T"
K 0.0000 0.0000 0.0000
As 1.6147 1.6147 -1.6147
As 1.6147 -1.6147 1.6147
As -1.6147 1.6147 1.6147
As 1.6147 1.6147 1.6147
```



Model y:
A plane-wave DFT calculation with PBE was carried out for a relaxed KAs4 crystal.

## Properties
Total moment   0.0 μB/f.u.

Structure (extended XYZ):
```
5
Lattice="-3.9464 3.9464 2.3103 3.9464 -3.9464 2.3103 3.9464 3.9464 -2.3103" Properties=species:S:1:pos:R:3 pbc="T T T"
K 0.0000 0.0000 0.0000
As 3.3582 1.0426 0.0000
As 2.9038 -0.5882 2.3103
As 1.0426 4.5346 0.0000
As 0.5882 2.9038 2.3103
```



Short version: model y, model x, model w, most stable first.



Model w:
A plane-wave DFT calculation with PBE was carried out for a relaxed K3As5 crystal.

## Properties
Total moment   0.0 μB/f.u.

Structure (extended XYZ):
```
16
Lattice="10.5729 0.0000 0.0000 -5.2864 9.1564 0.0000 0.0000 0.0000 5.1477" Properties=species:S:1:pos:R:3 pbc="T T T"
K -1.9378 3.3564 1.2869
K -3.3486 5.7999 3.8608
K 3.8757 0.0000 1.2869
K 1.9378 3.3564 3.8608
K 6.6972 0.0000 3.8608
K 3.3486 5.7999 1.2869
As -0.7513 1.3012 3.8608
As -4.5352 7.8551 1.2869
As 1.5026 0.0000 3.8608
As 0.7513 1.3012 1.2869
As 0.0000 6.1042 0.0000
As 0.0000 6.1042 2.5739
As 5.2864 3.0521 0.0000
As 5.2864 3.0521 2.5739
As 9.0703 0.0000 1.2869
As 4.5352 7.8551 3.8608
```



Model x:
A plane-wave DFT calculation with PBE was carried out for a relaxed K3As5 crystal.

## Properties
Total moment   0.0 μB/f.u.

Structure (extended XYZ):
```
8
Lattice="4.5498 -4.8275 0.0000 4.5498 4.8275 0.0000 0.0000 0.0000 4.3697" Properties=species:S:1:pos:R:3 pbc="T T T"
K 0.0000 0.0000 0.0000
K 2.2004 0.0000 2.1849
K 6.8992 0.0000 2.1849
As 2.2749 2.4137 0.0000
As 4.5498 2.1597 2.1849
As 2.2749 -2.4137 0.0000
As 4.5498 0.0000 0.0000
As 4.5498 -2.1597 2.1849
```



Short version: model w, model x, most stable first.



Model w:
A plane-wave DFT calculation with PBE was carried out for a relaxed K2LaAs2 crystal.

## Properties
Total moment   0.9 μB/f.u.

Structure (extended XYZ):
```
5
Lattice="-2.2461 2.2461 7.2669 2.2461 -2.2461 7.2669 2.2461 2.2461 -7.2669" Properties=species:S:1:pos:R:3 pbc="T T T"
K 2.2461 0.0000 3.6335
K 0.0000 2.2461 3.6335
La 0.0000 0.0000 0.0000
As 0.0000 0.0000 6.0335
As 0.0000 0.0000 8.5003
```



Model x:
A plane-wave DFT calculation with PBE was carried out for a relaxed K2LaAs2 crystal.

## Properties
Total moment   0.0 μB/f.u.

Structure (extended XYZ):
```
10
Lattice="7.7348 0.0000 0.0000 0.0000 7.7348 0.0000 0.0000 0.0000 5.5450" Properties=species:S:1:pos:R:3 pbc="T T T"
K 1.2616 2.6058 0.0000
K 2.6058 6.4731 0.0000
K 5.1290 1.2616 0.0000
K 6.4731 5.1290 0.0000
La 0.0000 0.0000 2.7725
La 3.8674 3.8674 2.7725
As 0.9037 4.7711 2.7725
As 2.9637 0.9037 2.7725
As 4.7711 6.8311 2.7725
As 6.8311 2.9637 2.7725
```



Short version: model x, model w, most stable first.



Model w:
A plane-wave DFT calculation with PBE was carried out for a relaxed KLaAs3 crystal.

## Properties
Total moment   0.0 μB/f.u.

Structure (extended XYZ):
```
5
Lattice="5.2671 0.0000 0.0000 0.0000 5.2671 0.0000 0.0000 0.0000 5.2671" Properties=species:S:1:pos:R:3 pbc="T T T"
K 0.0000 0.0000 0.0000
La 2.6336 2.6336 2.6336
As 0.0000 0.0000 2.6336
As 0.0000 2.6336 0.0000
As 2.6336 0.0000 0.0000
```



Model x:
A plane-wave DFT calculation with PBE was carried out for a relaxed KLaAs3 crystal.

## Properties
Total moment   0.0 μB/f.u.

Structure (extended XYZ):
```
5
Lattice="5.7412 0.0000 0.0000 0.0000 5.7412 0.0000 0.0000 0.0000 5.7412" Properties=species:S:1:pos:R:3 pbc="T T T"
K 0.0000 0.0000 0.0000
La 2.8706 2.8706 2.8706
As 0.0000 2.8706 2.8706
As 2.8706 0.0000 2.8706
As 2.8706 2.8706 0.0000
```



Short version: model x, model w, most stable first.



Model w:
A plane-wave DFT calculation with PBE was carried out for a relaxed KLaAsSe2 crystal.

## Properties
Total moment   1.7 μB/f.u.

Structure (extended XYZ):
```
5
Lattice="5.8276 0.0000 0.0000 0.0000 5.8276 0.0000 0.0000 0.0000 5.9088" Properties=species:S:1:pos:R:3 pbc="T T T"
K 0.0000 0.0000 0.0000
La 2.9138 2.9138 2.9544
As 2.9138 2.9138 0.0000
Se 0.0000 2.9138 2.9544
Se 2.9138 0.0000 2.9544
```



Model x:
A plane-wave DFT calculation with PBE was carried out for a relaxed KLaAsSe2 crystal.

## Properties
Total moment   0.0 μB/f.u.

Structure (extended XYZ):
```
5
Lattice="5.4629 0.0000 0.0000 0.0000 5.4629 0.0000 0.0000 0.0000 5.1539" Properties=species:S:1:pos:R:3 pbc="T T T"
K 0.0000 0.0000 0.0000
La 2.7315 2.7315 2.5770
As 0.0000 0.0000 2.5770
Se 0.0000 2.7315 0.0000
Se 2.7315 0.0000 0.0000
```



Short version: model w, model x, most stable first.



Model w:
A plane-wave DFT calculation with PBE was carried out for a relaxed KLiAs3 crystal.

## Properties
Total moment   0.8 μB/f.u.

Structure (extended XYZ):
```
5
Lattice="5.5595 0.0000 0.0000 0.0000 5.5595 0.0000 0.0000 0.0000 5.5595" Properties=species:S:1:pos:R:3 pbc="T T T"
K 0.0000 0.0000 0.0000
Li 2.7797 2.7797 2.7797
As 0.0000 0.0000 2.7797
As 0.0000 2.7797 0.0000
As 2.7797 0.0000 0.0000
```



Model x:
A plane-wave DFT calculation with PBE was carried out for a relaxed KLiAs3 crystal.

## Properties
Total moment   0.0 μB/f.u.

Structure (extended XYZ):
```
5
Lattice="4.8256 0.0000 0.0000 0.0000 4.8256 0.0000 0.0000 0.0000 4.8256" Properties=species:S:1:pos:R:3 pbc="T T T"
K 0.0000 0.0000 0.0000
Li 2.4128 2.4128 2.4128
As 0.0000 2.4128 2.4128
As 2.4128 0.0000 2.4128
As 2.4128 2.4128 0.0000
```



Short version: model x, model w, most stable first.



Model w:
A plane-wave DFT calculation with PBE was carried out for a relaxed KRbLiAs crystal.

## Properties
Total moment   0.0 μB/f.u.

Structure (extended XYZ):
```
4
Lattice="0.0000 3.8515 3.8515 3.8515 0.0000 3.8515 3.8515 3.8515 0.0000" Properties=species:S:1:pos:R:3 pbc="T T T"
K 0.0000 0.0000 0.0000
Rb 5.7773 5.7773 5.7773
Li 3.8515 3.8515 3.8515
As 1.9258 1.9258 1.9258
```



Model x:
A plane-wave DFT calculation with PBE was carried out for a relaxed KRbLiAs crystal.

## Properties
Total moment   0.0 μB/f.u.

Structure (extended XYZ):
```
4
Lattice="2.4310 1.4036 7.2961 -2.4310 1.4036 7.2961 0.0000 -2.8071 7.2961" Properties=species:S:1:pos:R:3 pbc="T T T"
K 0.0000 0.0000 0.0000
Rb 0.0000 0.0000 18.0192
Li 0.0000 0.0000 5.5236
As 0.0000 0.0000 12.8201
```



Short version: model x, model w, most stable first.